Mn2NiO6: relaxed, PBE+U.

abc: 5.006 5.010 9.947
angles: 90.00 90.00 119.98
Each line ends with the local moment (μB).
Positions (direct):
Mn  0.333  0.667  0.000  3.25
Mn  0.167  0.333  0.500  3.25
Mn  0.833  0.667  0.500  3.25
Mn  0.667  0.333  0.000  3.25
O  0.328  0.328  0.096  -0.17
O  0.828  0.328  0.404  -0.17
O  0.672  0.000  0.096  -0.17
O  0.000  0.672  0.096  -0.17
O  0.000  0.328  0.904  -0.17
O  0.172  0.000  0.404  -0.17
O  0.500  0.328  0.596  -0.17
O  0.328  0.000  0.904  -0.17
O  0.672  0.672  0.904  -0.17
O  0.500  0.672  0.404  -0.17
O  0.828  0.000  0.596  -0.17
O  0.172  0.672  0.596  -0.17
Ni  0.500  0.000  0.500  0.54
Ni  0.000  0.000  0.000  0.54

For the magnetization, the calculation gives 12.0 Bohr magnetons per cell. The raw total energy is -112.5 eV per cell.